# 1
Entry from Alexandria via LeMat-Bulk: a geometry-optimized SrSe2BrCl structure (PBE-GGA).

Cell and atoms, written as POSCAR:
```
SrSe2BrCl
1.0
4.851 0.000 0.000
0.000 4.851 0.000
0.000 0.000 6.340
Sr Se Br Cl
1 2 1 1
Cartesian
0.000 0.000 0.000
0.000 2.426 3.170
2.426 0.000 3.170
2.426 2.426 0.000
2.426 2.426 3.170
```

Values from the calculation:
Fermi-level density of states = 2.926 states/eV/cell
uncorrected formation energy = -2.58 eV/f.u.
density = 4.02 g/cm3

# 2
Entry from Alexandria via LeMat-Bulk: a geometry-optimized SrSeBr2Cl structure (PBE-GGA).

Cell and atoms, written as POSCAR:
```
SrSeBr2Cl
1.0
5.898 0.000 0.000
0.000 5.898 0.000
0.000 0.000 6.487
Sr Se Br Cl
1 1 2 1
Cartesian
0.000 0.000 0.000
0.000 0.000 3.243
0.000 2.949 0.000
2.949 0.000 0.000
2.949 2.949 3.243
```

Values from the calculation:
Fermi-level density of states = 7.973 states/eV/cell
uncorrected formation energy = -2.50 eV/f.u.
density = 2.66 g/cm3

# 3
Entry from Alexandria via LeMat-Bulk: a geometry-optimized SrSeBr2Cl structure (PBE-GGA).

Cell and atoms, written as POSCAR:
```
SrSeBr2Cl
1.0
5.497 0.000 0.000
0.000 5.497 0.000
0.000 0.000 5.044
Sr Se Br Cl
1 1 2 1
Cartesian
0.000 0.000 0.000
2.749 2.749 0.000
0.000 2.749 2.522
2.749 0.000 2.522
2.749 2.749 2.522
```

Values from the calculation:
Fermi-level density of states = 1.664 states/eV/cell
uncorrected formation energy = -2.68 eV/f.u.
density = 3.94 g/cm3

# 4
Entry from Alexandria via LeMat-Bulk: a geometry-optimized TeSe2BrCl structure (PBE-GGA).

Cell and atoms, written as POSCAR:
```
TeSe2BrCl
1.0
5.188 0.000 0.000
0.000 5.188 0.000
0.000 0.000 5.037
Te Se Br Cl
1 2 1 1
Cartesian
0.000 0.000 0.000
0.000 2.594 2.518
2.594 0.000 2.518
2.594 2.594 0.000
2.594 2.594 2.518
```

Values from the calculation:
Fermi-level density of states = 5.137 states/eV/cell
uncorrected formation energy = 4.04 eV/f.u.
density = 4.91 g/cm3

# 5
Entry from Alexandria via LeMat-Bulk: a geometry-optimized TeSe2BrCl structure (PBE-GGA).

Cell and atoms, written as POSCAR:
```
TeSe2BrCl
1.0
5.476 0.000 0.000
0.000 5.476 0.000
0.000 0.000 5.468
Te Se Br Cl
1 2 1 1
Cartesian
0.000 0.000 0.000
0.000 2.738 0.000
2.738 0.000 0.000
0.000 0.000 2.734
2.738 2.738 2.734
```

Values from the calculation:
Fermi-level density of states = 5.320 states/eV/cell
uncorrected formation energy = 2.26 eV/f.u.
density = 4.06 g/cm3

# 6
Entry from Alexandria via LeMat-Bulk: a geometry-optimized TiSe2BrCl structure (PBE-GGA).

Cell and atoms, written as POSCAR:
```
TiSe2BrCl
1.0
5.092 0.000 0.000
0.000 5.092 0.000
0.000 0.000 4.936
Ti Se Br Cl
1 2 1 1
Cartesian
0.000 0.000 0.000
0.000 2.546 2.468
2.546 0.000 2.468
2.546 2.546 0.000
2.546 2.546 2.468
```

Values from the calculation:
Fermi-level density of states = 7.854 states/eV/cell
uncorrected formation energy = 4.00 eV/f.u.
density = 4.17 g/cm3